Entry 1:
GGA-PBE MnBi3B, relaxed; volume = 25.74 Å³/atom; uncorrected energy = -4.507 eV per atom; N(E_F) = 4.8 states/eV/cell
1.0
5.049 0.000 0.000
0.000 5.049 0.000
0.000 0.000 5.049
B Mn Bi
1 1 3
Direct
0.000 0.000 0.000 B
0.500 0.500 0.500 Mn
0.000 0.500 0.000 Bi
0.000 0.000 0.500 Bi
0.500 0.000 0.000 Bi

***

Entry 2:
GGA-PBE Mn2BiB, relaxed; volume = 13.30 Å³/atom; N(E_F) = 3.8 states/eV/cell; relative energy among the computed polymorphs = 440.8 meV per atom
1.0
0.350 -4.115 -0.879
-1.787 -2.860 2.540
-3.374 -2.173 -1.312
B Mn Bi
1 2 1
Direct
0.000 0.000 0.000 B
0.250 0.250 0.250 Mn
0.750 0.750 0.750 Mn
0.500 0.500 0.500 Bi

***

Entry 3:
GGA-PBE Mn2BiB, relaxed; volume = 18.56 Å³/atom; N(E_F) = 5.4 states/eV/cell; relative energy among the computed polymorphs = 0.0 meV per atom
1.0
5.053 0.000 0.000
0.000 5.053 0.000
2.526 2.526 5.816
B Mn Bi
2 4 2
Direct
0.500 0.500 0.000 B
0.250 0.750 0.500 B
0.279 0.125 0.250 Mn
0.471 0.625 0.250 Mn
0.375 0.721 0.750 Mn
0.875 0.529 0.750 Mn
0.000 0.000 0.000 Bi
0.750 0.250 0.500 Bi

***

Entry 4:
GGA-PBE MnBiB2, relaxed; volume = 14.11 Å³/atom; uncorrected energy = -5.939 eV per atom; N(E_F) = 5.2 states/eV/cell
1.0
3.903 0.000 0.000
0.000 3.903 0.000
1.951 1.951 7.409
B Mn Bi
4 2 2
Direct
0.375 0.125 0.250 B
0.375 0.625 0.250 B
0.375 0.625 0.750 B
0.875 0.625 0.750 B
0.500 0.500 0.000 Mn
0.250 0.750 0.500 Mn
0.000 0.000 0.000 Bi
0.750 0.250 0.500 Bi